Record 1
{
  "formula": "GdLuCo",
  "functional": "PBE-GGA",
  "state": "optimized geometry",
  "lattice": [[3.3356, 0.0000, 0.0000], [0.0000, 3.3356, 0.0000], [-1.6678, -1.6678, 6.2616]],
  "species": ["Gd", "Lu", "Co"],
  "fractional_positions": [[0.0360, 0.0360, 0.0719], [0.2935, 0.2935, 0.5870], [0.6706, 0.6706, 0.3411]],
  "total_energy_ev_per_atom": -8.708,
  "formation_enthalpy_0k_ev_per_atom": -0.139,
  "space_group": "I4mm (107)"
}

---

Record 2
{
  "formula": "GdLu2Co",
  "functional": "PBE-GGA",
  "state": "optimized geometry",
  "lattice": [[-1.9396, -2.5742, -0.8518], [2.7065, -1.7746, -0.7998], [0.4301, -3.0301, 8.1781]],
  "species": ["Co", "Gd", "Lu", "Lu"],
  "fractional_positions": [[0.5000, 0.5000, 0.0000], [0.5000, 0.5000, 0.5000], [0.0000, 0.0000, 0.8202], [0.0000, 0.0000, 0.1798]],
  "total_energy_ev_per_atom": -7.678,
  "formation_enthalpy_0k_ev_per_atom": -0.121,
  "space_group": "P4/mmm (123)"
}

---

Copy entry 1 word for word.
{
  "formula": "GdLuCo",
  "functional": "PBE-GGA",
  "state": "optimized geometry",
  "lattice": [[3.3356, 0.0000, 0.0000], [0.0000, 3.3356, 0.0000], [-1.6678, -1.6678, 6.2616]],
  "species": ["Gd", "Lu", "Co"],
  "fractional_positions": [[0.0360, 0.0360, 0.0719], [0.2935, 0.2935, 0.5870], [0.6706, 0.6706, 0.3411]],
  "total_energy_ev_per_atom": -8.708,
  "formation_enthalpy_0k_ev_per_atom": -0.139,
  "space_group": "I4mm (107)"
}